[1]
DFT (GGA-PBE) results for a relaxed structure of TbTmZr2.

```
data_TbTmZr2
_chemical_formula_sum 'Tb1 Tm1 Zr2'
_symmetry_space_group_name_H-M 'P 1'
_symmetry_Int_Tables_number 1
_cell_length_a 4.698
_cell_length_b 4.698
_cell_length_c 4.776
_cell_angle_alpha 90.00
_cell_angle_beta 90.00
_cell_angle_gamma 90.00
loop_
_symmetry_equiv_pos_as_xyz
'x,y,z'
loop_
_atom_site_label
_atom_site_type_symbol
_atom_site_fract_x
_atom_site_fract_y
_atom_site_fract_z
_atom_site_occupancy
Tb1 Tb 0.000 0.000 0.000 1
Tm1 Tm 0.500 0.500 0.000 1
Zr1 Zr 0.000 0.500 0.500 1
Zr2 Zr 0.500 0.000 0.500 1
```

Values from the calculation:
Formation energy from the elements, eV per atom: 0.11
Symmetry: No. 123
Excess energy over the best structure of this formula in the dataset, eV per atom: 0.039
Size of the total moment, μB per cell: 0.000

[2]
DFT (GGA-PBE) results for a relaxed structure of Er2Hf4Sc5.

```
data_Er2Hf4Sc5
_chemical_formula_sum 'Er2 Hf4 Sc5'
_symmetry_space_group_name_H-M 'P 1'
_symmetry_Int_Tables_number 1
_cell_length_a 6.544
_cell_length_b 6.544
_cell_length_c 9.368
_cell_angle_alpha 120.05
_cell_angle_beta 120.05
_cell_angle_gamma 55.21
loop_
_symmetry_equiv_pos_as_xyz
'x,y,z'
loop_
_atom_site_label
_atom_site_type_symbol
_atom_site_fract_x
_atom_site_fract_y
_atom_site_fract_z
_atom_site_occupancy
Er1 Er 0.177 0.177 0.237 1
Er2 Er 0.823 0.823 0.763 1
Hf1 Hf 0.236 0.236 0.960 1
Hf2 Hf 0.238 0.238 0.626 1
Hf3 Hf 0.762 0.762 0.374 1
Hf4 Hf 0.764 0.764 0.040 1
Sc1 Sc 0.248 0.729 0.327 1
Sc2 Sc 0.271 0.752 0.673 1
Sc3 Sc 0.500 0.500 0.000 1
Sc4 Sc 0.729 0.248 0.327 1
Sc5 Sc 0.752 0.271 0.673 1
```

Values from the calculation:
Formation energy from the elements, eV per atom: 0.24
Symmetry: No. 12
Size of the total moment, μB per cell: 0.000

[3]
DFT (GGA-PBE) results for a relaxed structure of Ba2SbPdI.

```
data_Ba2SbPdI
_chemical_formula_sum 'Ba2 Sb1 Pd1 I1'
_symmetry_space_group_name_H-M 'P 1'
_symmetry_Int_Tables_number 1
_cell_length_a 6.378
_cell_length_b 6.378
_cell_length_c 4.979
_cell_angle_alpha 90.00
_cell_angle_beta 90.00
_cell_angle_gamma 90.00
loop_
_symmetry_equiv_pos_as_xyz
'x,y,z'
loop_
_atom_site_label
_atom_site_type_symbol
_atom_site_fract_x
_atom_site_fract_y
_atom_site_fract_z
_atom_site_occupancy
Ba1 Ba 0.000 0.500 0.000 1
Ba2 Ba 0.500 0.000 0.000 1
Sb1 Sb 0.000 0.000 0.500 1
Pd1 Pd 0.000 0.000 0.000 1
I1 I 0.500 0.500 0.500 1
```

Values from the calculation:
Formation energy from raw total energies, eV per formula unit: -4.76
Symmetry: No. 123
Size of the total moment, μB per cell: 0.000

[4]
DFT (GGA-PBE) results for a relaxed structure of BaCo2P.

```
data_BaCo2P
_chemical_formula_sum 'Ba1 Co2 P1'
_symmetry_space_group_name_H-M 'P 1'
_symmetry_Int_Tables_number 1
_cell_length_a 5.220
_cell_length_b 5.194
_cell_length_c 4.373
_cell_angle_alpha 65.49
_cell_angle_beta 64.85
_cell_angle_gamma 49.66
loop_
_symmetry_equiv_pos_as_xyz
'x,y,z'
loop_
_atom_site_label
_atom_site_type_symbol
_atom_site_fract_x
_atom_site_fract_y
_atom_site_fract_z
_atom_site_occupancy
Ba1 Ba 0.000 0.000 0.000 1
Co1 Co 0.000 0.500 0.500 1
Co2 Co 0.500 0.000 0.000 1
P1 P 0.500 0.500 0.500 1
```

Values from the calculation:
Formation energy from the elements, eV per atom: 0.73
Symmetry: No. 69
Size of the total moment, μB per cell: 2.942

[5]
DFT (GGA-PBE) results for a relaxed structure of VTeOsI2.

```
data_VTeOsI2
_chemical_formula_sum 'V1 Te1 Os1 I2'
_symmetry_space_group_name_H-M 'P 1'
_symmetry_Int_Tables_number 1
_cell_length_a 5.365
_cell_length_b 5.365
_cell_length_c 5.193
_cell_angle_alpha 90.00
_cell_angle_beta 90.00
_cell_angle_gamma 90.00
loop_
_symmetry_equiv_pos_as_xyz
'x,y,z'
loop_
_atom_site_label
_atom_site_type_symbol
_atom_site_fract_x
_atom_site_fract_y
_atom_site_fract_z
_atom_site_occupancy
V1 V 0.000 0.000 0.000 1
Te1 Te 0.000 0.000 0.500 1
Os1 Os 0.500 0.500 0.500 1
I1 I 0.000 0.500 0.000 1
I2 I 0.500 0.000 0.000 1
```

Values from the calculation:
Formation energy from raw total energies, eV per formula unit: 7.20
Symmetry: No. 123
Excess energy over the best structure of this formula in the dataset, eV per atom: 0.095
Size of the total moment, μB per cell: 4.371

[6]
DFT (GGA-PBE) results for a relaxed structure of LiMg3Cl.

```
data_LiMg3Cl
_chemical_formula_sum 'Li1 Mg3 Cl1'
_symmetry_space_group_name_H-M 'P 1'
_symmetry_Int_Tables_number 1
_cell_length_a 5.139
_cell_length_b 5.139
_cell_length_c 5.139
_cell_angle_alpha 90.00
_cell_angle_beta 90.00
_cell_angle_gamma 90.00
loop_
_symmetry_equiv_pos_as_xyz
'x,y,z'
loop_
_atom_site_label
_atom_site_type_symbol
_atom_site_fract_x
_atom_site_fract_y
_atom_site_fract_z
_atom_site_occupancy
Li1 Li 0.000 0.000 0.000 1
Mg1 Mg 0.000 0.500 0.500 1
Mg2 Mg 0.500 0.000 0.500 1
Mg3 Mg 0.500 0.500 0.000 1
Cl1 Cl 0.500 0.500 0.500 1
```

Values from the calculation:
Formation energy from raw total energies, eV per formula unit: 0.36
Symmetry: No. 221
Size of the total moment, μB per cell: 0.000

[7]
DFT (GGA-PBE) results for a relaxed structure of K2Be2Rh.

```
data_K2Be2Rh
_chemical_formula_sum 'K4 Be4 Rh2'
_symmetry_space_group_name_H-M 'P 1'
_symmetry_Int_Tables_number 1
_cell_length_a 6.323
_cell_length_b 6.323
_cell_length_c 5.678
_cell_angle_alpha 90.00
_cell_angle_beta 90.00
_cell_angle_gamma 90.00
loop_
_symmetry_equiv_pos_as_xyz
'x,y,z'
loop_
_atom_site_label
_atom_site_type_symbol
_atom_site_fract_x
_atom_site_fract_y
_atom_site_fract_z
_atom_site_occupancy
K1 K 0.171 0.329 0.000 1
K2 K 0.329 0.829 0.000 1
K3 K 0.671 0.171 0.000 1
K4 K 0.829 0.671 0.000 1
Be1 Be 0.223 0.723 0.500 1
Be2 Be 0.277 0.223 0.500 1
Be3 Be 0.723 0.777 0.500 1
Be4 Be 0.777 0.277 0.500 1
Rh1 Rh 0.000 0.000 0.500 1
Rh2 Rh 0.500 0.500 0.500 1
```

Values from the calculation:
Formation energy from the elements, eV per atom: 0.49
Symmetry: No. 127
Excess energy over the best structure of this formula in the dataset, eV per atom: 0.000
Size of the total moment, μB per cell: 0.000

[8]
DFT (GGA-PBE) results for a relaxed structure of Dy2MoOs3.

```
data_Dy2MoOs3
_chemical_formula_sum 'Dy4 Mo2 Os6'
_symmetry_space_group_name_H-M 'P 1'
_symmetry_Int_Tables_number 1
_cell_length_a 5.480
_cell_length_b 5.480
_cell_length_c 8.525
_cell_angle_alpha 90.00
_cell_angle_beta 90.00
_cell_angle_gamma 120.00
loop_
_symmetry_equiv_pos_as_xyz
'x,y,z'
loop_
_atom_site_label
_atom_site_type_symbol
_atom_site_fract_x
_atom_site_fract_y
_atom_site_fract_z
_atom_site_occupancy
Dy1 Dy 0.333 0.667 0.065 1
Dy2 Dy 0.333 0.667 0.435 1
Dy3 Dy 0.667 0.333 0.565 1
Dy4 Dy 0.667 0.333 0.935 1
Mo1 Mo 0.000 0.000 0.000 1
Mo2 Mo 0.000 0.000 0.500 1
Os1 Os 0.173 0.345 0.750 1
Os2 Os 0.173 0.827 0.750 1
Os3 Os 0.345 0.173 0.250 1
Os4 Os 0.655 0.827 0.750 1
Os5 Os 0.827 0.173 0.250 1
Os6 Os 0.827 0.655 0.250 1
```

Values from the calculation:
Formation energy from the elements, eV per atom: -0.27
Symmetry: No. 194
Size of the total moment, μB per cell: 0.000

[9]
DFT (GGA-PBE) results for a relaxed structure of CsGeAuI2.

```
data_CsGeAuI2
_chemical_formula_sum 'Cs1 Ge1 Au1 I2'
_symmetry_space_group_name_H-M 'P 1'
_symmetry_Int_Tables_number 1
_cell_length_a 6.206
_cell_length_b 6.206
_cell_length_c 4.946
_cell_angle_alpha 90.00
_cell_angle_beta 90.00
_cell_angle_gamma 90.00
loop_
_symmetry_equiv_pos_as_xyz
'x,y,z'
loop_
_atom_site_label
_atom_site_type_symbol
_atom_site_fract_x
_atom_site_fract_y
_atom_site_fract_z
_atom_site_occupancy
Cs1 Cs 0.000 0.000 0.000 1
Ge1 Ge 0.500 0.500 0.500 1
Au1 Au 0.500 0.500 0.000 1
I1 I 0.000 0.500 0.500 1
I2 I 0.500 0.000 0.500 1
```

Values from the calculation:
Formation energy from raw total energies, eV per formula unit: -3.00
Symmetry: No. 123
Size of the total moment, μB per cell: 0.000

[10]
DFT (GGA-PBE) results for a relaxed structure of PaSnSe3.

```
data_PaSnSe3
_chemical_formula_sum 'Pa2 Sn2 Se6'
_symmetry_space_group_name_H-M 'P 1'
_symmetry_Int_Tables_number 1
_cell_length_a 7.239
_cell_length_b 4.191
_cell_length_c 11.466
_cell_angle_alpha 90.00
_cell_angle_beta 107.85
_cell_angle_gamma 90.00
loop_
_symmetry_equiv_pos_as_xyz
'x,y,z'
loop_
_atom_site_label
_atom_site_type_symbol
_atom_site_fract_x
_atom_site_fract_y
_atom_site_fract_z
_atom_site_occupancy
Pa1 Pa 0.223 0.250 0.424 1
Pa2 Pa 0.777 0.750 0.576 1
Sn1 Sn 0.177 0.250 0.901 1
Sn2 Sn 0.823 0.750 0.099 1
Se1 Se 0.070 0.250 0.633 1
Se2 Se 0.085 0.250 0.146 1
Se3 Se 0.445 0.750 0.362 1
Se4 Se 0.555 0.250 0.638 1
Se5 Se 0.915 0.750 0.854 1
Se6 Se 0.930 0.750 0.367 1
```

Values from the calculation:
Formation energy from raw total energies, eV per formula unit: -4.82
Symmetry: No. 11
Excess energy over the best structure of this formula in the dataset, eV per atom: 0.000
Size of the total moment, μB per cell: 1.976

[11]
DFT (GGA-PBE) results for a relaxed structure of TiBiI2O.

```
data_TiBiI2O
_chemical_formula_sum 'Ti1 Bi1 I2 O1'
_symmetry_space_group_name_H-M 'P 1'
_symmetry_Int_Tables_number 1
_cell_length_a 6.266
_cell_length_b 6.266
_cell_length_c 4.278
_cell_angle_alpha 90.00
_cell_angle_beta 90.00
_cell_angle_gamma 90.00
loop_
_symmetry_equiv_pos_as_xyz
'x,y,z'
loop_
_atom_site_label
_atom_site_type_symbol
_atom_site_fract_x
_atom_site_fract_y
_atom_site_fract_z
_atom_site_occupancy
Ti1 Ti 0.000 0.000 0.000 1
Bi1 Bi 0.500 0.500 0.500 1
I1 I 0.000 0.500 0.500 1
I2 I 0.500 0.000 0.500 1
O1 O 0.500 0.500 0.000 1
```

Values from the calculation:
Formation energy from raw total energies, eV per formula unit: 1.53
Symmetry: No. 123
Excess energy over the best structure of this formula in the dataset, eV per atom: 1.126
Size of the total moment, μB per cell: 0.945

[12]
DFT (GGA-PBE) results for a relaxed structure of Sm2Zn3AgPt4.

```
data_Sm2Zn3AgPt4
_chemical_formula_sum 'Sm2 Zn3 Ag1 Pt4'
_symmetry_space_group_name_H-M 'P 1'
_symmetry_Int_Tables_number 1
_cell_length_a 4.066
_cell_length_b 4.066
_cell_length_c 11.626
_cell_angle_alpha 90.00
_cell_angle_beta 90.00
_cell_angle_gamma 90.00
loop_
_symmetry_equiv_pos_as_xyz
'x,y,z'
loop_
_atom_site_label
_atom_site_type_symbol
_atom_site_fract_x
_atom_site_fract_y
_atom_site_fract_z
_atom_site_occupancy
Sm1 Sm 0.000 0.500 0.244 1
Sm2 Sm 0.500 0.000 0.756 1
Zn1 Zn 0.000 0.500 0.869 1
Zn2 Zn 0.500 0.000 0.131 1
Zn3 Zn 0.500 0.500 0.500 1
Ag1 Ag 0.000 0.000 0.500 1
Pt1 Pt 0.000 0.000 0.000 1
Pt2 Pt 0.000 0.500 0.656 1
Pt3 Pt 0.500 0.000 0.344 1
Pt4 Pt 0.500 0.500 0.000 1
```

Values from the calculation:
Formation energy from the elements, eV per atom: -0.71
Symmetry: No. 115
Size of the total moment, μB per cell: 0.000

What did the third record say?
DFT (GGA-PBE) results for a relaxed structure of Ba2SbPdI.

```
data_Ba2SbPdI
_chemical_formula_sum 'Ba2 Sb1 Pd1 I1'
_symmetry_space_group_name_H-M 'P 1'
_symmetry_Int_Tables_number 1
_cell_length_a 6.378
_cell_length_b 6.378
_cell_length_c 4.979
_cell_angle_alpha 90.00
_cell_angle_beta 90.00
_cell_angle_gamma 90.00
loop_
_symmetry_equiv_pos_as_xyz
'x,y,z'
loop_
_atom_site_label
_atom_site_type_symbol
_atom_site_fract_x
_atom_site_fract_y
_atom_site_fract_z
_atom_site_occupancy
Ba1 Ba 0.000 0.500 0.000 1
Ba2 Ba 0.500 0.000 0.000 1
Sb1 Sb 0.000 0.000 0.500 1
Pd1 Pd 0.000 0.000 0.000 1
I1 I 0.500 0.500 0.500 1
```

Values from the calculation:
Formation energy from raw total energies, eV per formula unit: -4.76
Symmetry: No. 123
Size of the total moment, μB per cell: 0.000

> Number 6 is which compound?

LiMg3Cl

> Number 3 is which compound?

Ba2SbPdI